(1)
Pr2S3Cl | PBE-GGA | optimized geometry

Summary:
As for the total magnetic moment: 0.00 μB per formula unit. Its energy relative to the elements, uncorrected is -1.612 eV per atom. The mass density comes out at 4.35 Mg/m³. The calculation puts the total DFT energy (no corrections) at -5.577 eV per atom.

a b c (Å): 7.7389 7.7389 7.7389
angles (deg): 58.35 58.35 58.35
Last column: nearest neighbours and their distance in Å.
Positions (direct):
Pr  0.1443  0.1443  0.1443  1 Cl 2.77, 6 S 2.91-2.99
Pr  0.3557  0.3557  0.3557  1 Cl 2.77, 6 S 2.91-2.99
Pr  0.6443  0.6443  0.6443  1 Cl 2.77, 6 S 2.91-2.99
Pr  0.8557  0.8557  0.8557  1 Cl 2.77, 6 S 2.91-2.99
S  0.0262  0.7500  0.4738  4 Pr 2.91-2.99, 2 Cl 3.19
S  0.2500  0.5262  0.9738  4 Pr 2.91-2.99, 2 Cl 3.19
S  0.4738  0.0262  0.7500  4 Pr 2.91-2.99, 2 Cl 3.19
S  0.5262  0.9738  0.2500  4 Pr 2.91-2.99, 2 Cl 3.19
S  0.7500  0.4738  0.0262  4 Pr 2.91-2.99, 2 Cl 3.19
S  0.9738  0.2500  0.5262  4 Pr 2.91-2.99, 2 Cl 3.19
Cl  0.0000  0.0000  0.0000  2 Pr 2.77
Cl  0.5000  0.5000  0.5000  2 Pr 2.77

=====

(2)
NaNiAu2 | PBE-GGA | optimized geometry

Summary:
For the energy relative to the lowest polymorph listed for this composition, the calculation gives 0 meV/atom. As for the total magnetic moment: 0.00 μB per formula unit. The energy of formation is 25 kJ/mol of formula units. The mass density comes out at 11.83 Mg/m³. The calculation puts the total DFT energy (no corrections) at -3.349 eV per atom.

a b c (Å): 4.5539 4.5539 4.5539
angles (deg): 60.00 60.00 60.00
Last column: nearest neighbours and their distance in Å.
Positions (direct):
Na  0.0000  0.0000  0.0000  8 Au 2.79
Ni  0.5000  0.5000  0.5000  8 Au 2.79
Au  0.2500  0.2500  0.2500  4 Na 2.79, 4 Ni 2.79
Au  0.7500  0.7500  0.7500  4 Na 2.79, 4 Ni 2.79

=====

(3)
ErUGe | PBE-GGA | optimized geometry

Summary:
As for the total magnetic moment: 1.11 μB per formula unit. The energy of formation is -38 kJ/mol of formula units. The mass density comes out at 11.38 Mg/m³. The calculation puts the total DFT energy (no corrections) at -6.953 eV per atom.

a b c (Å): 9.1257 9.1257 9.1257
angles (deg): 159.78 147.86 38.26
Last column: nearest neighbours and their distance in Å.
Positions (direct):
Er  0.1738  0.1738  0.0000  5 Ge 2.94-3.01, 2 Er 3.20
Er  0.8262  0.8262  0.0000  5 Ge 2.94-3.01, 2 Er 3.20
U  0.2502  0.5000  0.7502  2 U 2.52-2.53
U  0.7498  0.5000  0.2498  2 U 2.52-2.53
Ge  0.3443  0.3443  0.0000  5 Er 2.94-3.01, 2 U 2.97, 2 Ge 3.20
Ge  0.6557  0.6557  0.0000  5 Er 2.94-3.01, 2 U 2.97, 2 Ge 3.20

=====

(4)
ZrFe2Se | PBE-GGA | optimized geometry

Summary:
As for the total magnetic moment: 3.93 μB per formula unit. Its energy relative to the elements, uncorrected is -0.105 eV per atom. The mass density comes out at 7.40 Mg/m³. The calculation puts the total DFT energy (no corrections) at -7.345 eV per atom.

a b c (Å): 3.4322 3.4322 5.3658
angles (deg): 90.00 90.00 90.00
Last column: nearest neighbours and their distance in Å.
Positions (direct):
Zr  0.0000  0.0000  0.0000  2 Se 2.68, 8 Fe 2.80
Fe  0.5000  0.5000  0.2594  2 Fe 2.58-2.78, 4 Se 2.75, 4 Zr 2.80
Fe  0.5000  0.5000  0.7406  2 Fe 2.58-2.78, 4 Se 2.75, 4 Zr 2.80
Se  0.0000  0.0000  0.5000  2 Zr 2.68, 8 Fe 2.75

=====

(5)
SrTe2Cl | PBE-GGA | optimized geometry

Summary:
For the energy relative to the lowest polymorph listed for this composition, the calculation gives 1416 meV/atom. As for the total magnetic moment: 0.26 μB per formula unit. Its energy relative to the elements, uncorrected is 0.171 eV per atom. The mass density comes out at 4.79 Mg/m³. The calculation puts the total DFT energy (no corrections) at -2.282 eV per atom.

a b c (Å): 11.3988 11.3988 11.3988
angles (deg): 18.56 18.56 18.56
Last column: nearest neighbours and their distance in Å.
Positions (direct):
Sr  0.0000  0.0000  0.0000  2 Te 3.21
Te  0.0954  0.0954  0.0954  3 Cl 3.20, 1 Sr 3.21
Te  0.9046  0.9046  0.9046  3 Cl 3.20, 1 Sr 3.21
Cl  0.5000  0.5000  0.5000  6 Te 3.20

=====

(6)
KBeBr | PBE-GGA | optimized geometry

Summary:
For the energy relative to the lowest polymorph listed for this composition, the calculation gives 96 meV/atom. As for the total magnetic moment: 0.00 μB per formula unit. Its energy relative to the elements, uncorrected is 0.140 eV per atom. The mass density comes out at 1.81 Mg/m³. The calculation puts the total DFT energy (no corrections) at -2.026 eV per atom.

a b c (Å): 5.4923 5.4923 5.4923
angles (deg): 60.00 60.00 60.00
Last column: nearest neighbours and their distance in Å.
Positions (direct):
K  0.0000  0.0000  0.0000  4 Br 3.36, 4 Be 3.36
Be  0.7500  0.7500  0.7500  4 K 3.36
Br  0.2500  0.2500  0.2500  4 K 3.36

=====

(7)
NaPaCoS4 | PBE-GGA | optimized geometry

Summary:
As for the total magnetic moment: 1.80 μB per formula unit. Its energy relative to the elements, uncorrected is -1.084 eV per atom. The mass density comes out at 5.01 Mg/m³. The calculation puts the total DFT energy (no corrections) at -6.003 eV per atom.

a b c (Å): 6.5730 5.6522 8.2650
angles (deg): 90.00 107.59 90.00
Last column: nearest neighbours and their distance in Å.
Positions (direct):
Na  0.2144  0.2500  0.4431  6 S 2.86-3.16
Na  0.7856  0.7500  0.5569  6 S 2.86-3.16
Pa  0.2372  0.2500  0.9421  6 S 2.62-2.83
Pa  0.7628  0.7500  0.0579  6 S 2.62-2.83
Co  0.2661  0.7500  0.1790  4 S 2.17-2.21
Co  0.7339  0.2500  0.8210  4 S 2.17-2.21
S  0.0651  0.7500  0.3499  1 Co 2.21
S  0.0759  0.7500  0.9090  1 Co 2.20
S  0.4804  0.5095  0.7794  1 Co 2.17
S  0.4804  0.9905  0.7794  1 Co 2.17
S  0.5196  0.0095  0.2206  1 Co 2.17
S  0.5196  0.4905  0.2206  1 Co 2.17
S  0.9241  0.2500  0.0910  1 Co 2.20
S  0.9349  0.2500  0.6501  1 Co 2.21

=====

(8)
SrMnCr2 | PBE-GGA | optimized geometry

Summary:
For the energy relative to the lowest polymorph listed for this composition, the calculation gives 243 meV/atom. As for the total magnetic moment: 4.04 μB per formula unit. The energy of formation is 308 kJ/mol of formula units. The mass density comes out at 4.74 Mg/m³. The calculation puts the total DFT energy (no corrections) at -6.726 eV per atom.

a b c (Å): 5.1526 5.1526 5.1526
angles (deg): 133.14 115.90 83.07
Last column: nearest neighbours and their distance in Å.
Positions (direct):
Sr  0.0000  0.0000  0.0000  4 Mn 3.11-3.13, 8 Cr 3.12-3.42
Mn  0.6926  0.1926  0.5000  2 Cr 2.51
Cr  0.3060  0.8060  0.5000  2 Cr 2.56
Cr  0.5042  0.5042  0.0000  2 Mn 2.51, 2 Cr 2.56